No. 1
Compound: LiSm2VO6
Source: Alexandria
Functional: PBE with a Hubbard U
Structure: optimized geometry

Cell lengths 5.3629, 5.7168, 9.2622 Å; angles 90.00, 124.75, 90.00 degrees
Last column: nearest neighbours and their distance in Å.
Positions (direct):
Li (0.0000, 0.0000, 0.0000)  6 O 2.07-2.18
Li (0.0000, 0.5000, 0.5000)  6 O 2.07-2.18
Sm (0.2320, 0.0715, 0.7483)  6 O 2.32-2.56
Sm (0.2320, 0.4285, 0.2483)  6 O 2.32-2.56
Sm (0.7680, 0.5715, 0.7517)  6 O 2.32-2.56
Sm (0.7680, 0.9285, 0.2517)  6 O 2.32-2.56
V (0.5000, 0.0000, 0.5000)  6 O 1.90-1.93
V (0.5000, 0.5000, 0.0000)  6 O 1.90-1.93
O (0.1632, 0.1798, 0.4528)  1 V 1.90
O (0.1632, 0.3202, 0.9528)  1 V 1.90
O (0.2690, 0.7161, 0.4458)  1 V 1.93
O (0.2690, 0.7839, 0.9458)  1 V 1.93
O (0.3596, 0.0320, 0.2611)  1 V 1.90, 1 Li 2.07
O (0.3596, 0.4680, 0.7611)  1 V 1.90, 1 Li 2.07
O (0.6404, 0.5320, 0.2389)  1 V 1.90, 1 Li 2.07
O (0.6404, 0.9680, 0.7389)  1 V 1.90, 1 Li 2.07
O (0.7310, 0.2161, 0.0542)  1 V 1.93
O (0.7310, 0.2839, 0.5542)  1 V 1.93
O (0.8368, 0.6798, 0.0472)  1 V 1.90
O (0.8368, 0.8202, 0.5472)  1 V 1.90



No. 2
Compound: Li2SmWO6
Source: Alexandria
Functional: PBE with a Hubbard U
Structure: optimized geometry

Cell lengths 5.7948, 5.7948, 5.7948 Å; angles 55.24, 55.24, 55.24 degrees
Last column: nearest neighbours and their distance in Å.
Positions (direct):
Li (0.0000, 0.0000, 0.0000)  3 O 1.99
Li (0.4930, 0.4930, 0.4930)  3 O 2.07
Sm (0.2160, 0.2160, 0.2160)  6 O 2.27-2.41
W (0.7091, 0.7091, 0.7091)  6 O 1.91-2.00
O (0.0744, 0.4605, 0.7890)  1 W 1.91, 1 Li 2.07
O (0.3292, 0.8934, 0.6395)  1 Li 1.99, 1 W 2.00
O (0.4605, 0.7890, 0.0744)  1 W 1.91, 1 Li 2.07
O (0.6395, 0.3292, 0.8934)  1 Li 1.99, 1 W 2.00
O (0.7890, 0.0744, 0.4605)  1 W 1.91, 1 Li 2.07
O (0.8934, 0.6395, 0.3292)  1 Li 1.99, 1 W 2.00



| no. | uncorrected energy (eV/atom) |
| --- | --- |
| 1 | -7.6147 |
| 2 | -6.7903 |